No. 1
Compound: AuSe2
Source: the Alexandria database
Functional: GGA-PBEsol
Structure: optimized geometry

Values from the calculation:
* final energy: -3.149 eV per atom
* calculated volume: 20.17 Å³/atom
* total magnetic moment: 0.0000 μB/atom

```
data_AuSe2
_cell_length_a 5.552
_cell_length_b 5.552
_cell_length_c 5.552
_cell_angle_alpha 60.00
_cell_angle_beta 60.00
_cell_angle_gamma 60.00
_space_group_name_H-M_alt 'P 1'
_space_group_IT_number 1
loop_
_space_group_symop_operation_xyz
'x,y,z'
loop_
_atom_site_label
_atom_site_type_symbol
_atom_site_fract_x
_atom_site_fract_y
_atom_site_fract_z
Au1 Au 0.125 0.125 0.125
Au2 Au 0.875 0.875 0.875
Se1 Se 0.000 0.500 0.500
Se2 Se 0.500 0.000 0.500
Se3 Se 0.500 0.500 0.000
Se4 Se 0.500 0.500 0.500
```

***

No. 2
Compound: Au2Se
Source: the Alexandria database
Functional: GGA-PBEsol
Structure: optimized geometry

Values from the calculation:
* final energy: -3.715 eV per atom
* calculated volume: 19.93 Å³/atom
* total magnetic moment: 0.0000 μB/atom

```
data_Au2Se
_cell_length_a 7.044
_cell_length_b 7.044
_cell_length_c 6.261
_cell_angle_alpha 104.66
_cell_angle_beta 104.66
_cell_angle_gamma 23.48
_space_group_name_H-M_alt 'P 1'
_space_group_IT_number 1
loop_
_space_group_symop_operation_xyz
'x,y,z'
loop_
_atom_site_label
_atom_site_type_symbol
_atom_site_fract_x
_atom_site_fract_y
_atom_site_fract_z
Au1 Au 0.141 0.141 0.137
Au2 Au 0.189 0.189 0.606
Au3 Au 0.811 0.811 0.394
Au4 Au 0.859 0.859 0.863
Se1 Se 0.435 0.435 0.227
Se2 Se 0.565 0.565 0.773
```

***

No. 3
Compound: SiAu2Se
Source: the Alexandria database
Functional: GGA-PBEsol
Structure: optimized geometry

Values from the calculation:
* final energy: -4.074 eV per atom
* energy above the most stable polymorph in this dataset: 55 meV per atom
* calculated volume: 17.84 Å³/atom
* total magnetic moment: 0.0000 μB/atom

```
data_SiAu2Se
_cell_length_a 5.444
_cell_length_b 5.444
_cell_length_c 5.444
_cell_angle_alpha 138.04
_cell_angle_beta 138.04
_cell_angle_gamma 60.84
_space_group_name_H-M_alt 'P 1'
_space_group_IT_number 1
loop_
_space_group_symop_operation_xyz
'x,y,z'
loop_
_atom_site_label
_atom_site_type_symbol
_atom_site_fract_x
_atom_site_fract_y
_atom_site_fract_z
Si1 Si 0.000 0.000 0.000
Au1 Au 0.250 0.750 0.500
Au2 Au 0.750 0.250 0.500
Se1 Se 0.500 0.500 0.000
```

***

No. 4
Compound: SiAuSe2
Source: the Alexandria database
Functional: GGA-PBEsol
Structure: optimized geometry

Values from the calculation:
* final energy: -3.898 eV per atom
* calculated volume: 18.07 Å³/atom
* total magnetic moment: 0.0000 μB/atom

```
data_SiAuSe2
_cell_length_a 4.676
_cell_length_b 4.676
_cell_length_c 4.676
_cell_angle_alpha 60.00
_cell_angle_beta 60.00
_cell_angle_gamma 60.00
_space_group_name_H-M_alt 'P 1'
_space_group_IT_number 1
loop_
_space_group_symop_operation_xyz
'x,y,z'
loop_
_atom_site_label
_atom_site_type_symbol
_atom_site_fract_x
_atom_site_fract_y
_atom_site_fract_z
Si1 Si 0.000 0.000 0.000
Au1 Au 0.750 0.750 0.750
Se1 Se 0.250 0.250 0.250
Se2 Se 0.500 0.500 0.500
```

***

No. 5
Compound: SiAu2Se
Source: the Alexandria database
Functional: GGA-PBEsol
Structure: optimized geometry

Values from the calculation:
* final energy: -4.129 eV per atom
* energy above the most stable polymorph in this dataset: 0 meV per atom
* calculated volume: 18.11 Å³/atom
* total magnetic moment: 0.0000 μB/atom

```
data_SiAu2Se
_cell_length_a 6.143
_cell_length_b 6.143
_cell_length_c 6.143
_cell_angle_alpha 149.05
_cell_angle_beta 142.38
_cell_angle_gamma 49.48
_space_group_name_H-M_alt 'P 1'
_space_group_IT_number 1
loop_
_space_group_symop_operation_xyz
'x,y,z'
loop_
_atom_site_label
_atom_site_type_symbol
_atom_site_fract_x
_atom_site_fract_y
_atom_site_fract_z
Si1 Si 0.000 0.000 0.000
Au1 Au 0.194 0.694 0.500
Au2 Au 0.806 0.306 0.500
Se1 Se 0.500 0.500 0.000
```

***

No. 6
Compound: SiAuSe2
Source: the Alexandria database
Functional: GGA-PBEsol
Structure: optimized geometry

Values from the calculation:
* final energy: -4.274 eV per atom
* calculated volume: 24.14 Å³/atom
* total magnetic moment: 0.0000 μB/atom

```
data_SiAuSe2
_cell_length_a 7.364
_cell_length_b 7.364
_cell_length_c 7.364
_cell_angle_alpha 135.55
_cell_angle_beta 135.55
_cell_angle_gamma 64.68
_space_group_name_H-M_alt 'P 1'
_space_group_IT_number 1
loop_
_space_group_symop_operation_xyz
'x,y,z'
loop_
_atom_site_label
_atom_site_type_symbol
_atom_site_fract_x
_atom_site_fract_y
_atom_site_fract_z
Si1 Si 0.000 0.000 0.000
Si2 Si 0.750 0.250 0.500
Au1 Au 0.250 0.750 0.500
Au2 Au 0.500 0.500 0.000
Se1 Se 0.099 0.625 0.974
Se2 Se 0.375 0.349 0.474
Se3 Se 0.651 0.125 0.026
Se4 Se 0.875 0.901 0.526
```

***

No. 7
Compound: SiAuSe2
Source: the Alexandria database
Functional: GGA-PBEsol
Structure: optimized geometry

Values from the calculation:
* final energy: -4.248 eV per atom
* calculated volume: 19.63 Å³/atom
* total magnetic moment: 0.0000 μB/atom

```
data_SiAuSe2
_cell_length_a 6.133
_cell_length_b 6.133
_cell_length_c 6.133
_cell_angle_alpha 148.00
_cell_angle_beta 139.75
_cell_angle_gamma 52.32
_space_group_name_H-M_alt 'P 1'
_space_group_IT_number 1
loop_
_space_group_symop_operation_xyz
'x,y,z'
loop_
_atom_site_label
_atom_site_type_symbol
_atom_site_fract_x
_atom_site_fract_y
_atom_site_fract_z
Si1 Si 0.000 0.000 0.000
Au1 Au 0.500 0.500 0.000
Se1 Se 0.166 0.666 0.500
Se2 Se 0.834 0.334 0.500
```

***

No. 8
Compound: SiAuSe2
Source: the Alexandria database
Functional: GGA-PBEsol
Structure: optimized geometry

Values from the calculation:
* final energy: -4.166 eV per atom
* calculated volume: 19.47 Å³/atom
* total magnetic moment: 0.0000 μB/atom

```
data_SiAuSe2
_cell_length_a 6.881
_cell_length_b 6.881
_cell_length_c 6.881
_cell_angle_alpha 151.56
_cell_angle_beta 149.80
_cell_angle_gamma 41.96
_space_group_name_H-M_alt 'P 1'
_space_group_IT_number 1
loop_
_space_group_symop_operation_xyz
'x,y,z'
loop_
_atom_site_label
_atom_site_type_symbol
_atom_site_fract_x
_atom_site_fract_y
_atom_site_fract_z
Si1 Si 0.000 0.000 0.000
Au1 Au 0.247 0.747 0.500
Se1 Se 0.590 0.590 0.000
Se2 Se 0.856 0.356 0.500
```